# 1
Here is a relaxed structure of CeYPaGa from Alexandria. Energies are from PBE.

The structure in extended XYZ format:
```
4
Lattice="-1.568 2.649 4.209 0.647 -2.040 4.755 3.523 2.043 3.257" Properties=species:S:1:pos:R:3 pbc="T T T"
Ga 1.301 1.326 6.110
Ce 0.650 0.663 3.055
Y 1.951 1.988 9.166
Pa 0.000 0.000 0.000
```

DOS(E_F)   8.88 states/eV per cell
Symmetry   No. 216
E_form   95.6 meV per atom

# 2
Here is a relaxed structure of TbHo2Cl6 from Alexandria. Energies are from PBE.

The structure in extended XYZ format:
```
9
Lattice="-4.328 -1.086 -5.348 -4.695 -5.136 0.306 -6.788 1.521 0.649" Properties=species:S:1:pos:R:3 pbc="T T T"
Ho -7.233 -2.989 -2.611
Cl -8.963 -5.047 -2.772
Tb -3.169 -1.920 -1.581
Cl -7.292 -0.210 -1.636
Cl -6.792 -1.460 -4.783
Ho -11.556 -3.812 -3.481
Cl -8.922 -2.854 -0.201
Cl -5.516 -2.868 -0.540
Cl -9.823 -1.779 -3.322
```

DOS(E_F)   4.15 states/eV per cell
E_tot   -40.83 eV/cell
Symmetry   No. 146

# 3
Here is a relaxed structure of CaPtSe from Alexandria. Energies are from PBE.

The structure in extended XYZ format:
```
6
Lattice="5.043 -0.012 0.003 3.019 4.611 -0.003 -1.946 1.283 6.624" Properties=species:S:1:pos:R:3 pbc="T T T"
Se 3.316 5.244 5.767
Se 3.160 2.050 1.946
Pt 1.729 1.342 3.858
Ca 5.717 3.670 2.081
Ca 0.759 3.624 5.633
Pt 3.238 3.647 3.857
```

DOS(E_F)   0.58 states/eV per cell
E_tot   -29.39 eV/cell
Symmetry   No. 2

# 4
Here is a relaxed structure of CeZnNi2Ge2 from Alexandria. Energies are from PBE.

The structure in extended XYZ format:
```
6
Lattice="-2.000 0.711 3.501 -1.992 -1.573 -3.212 1.515 -6.298 2.144" Properties=species:S:1:pos:R:3 pbc="T T T"
Ni -1.031 -4.066 2.630
Ni -1.446 -3.094 -0.198
Ge -1.586 -1.760 1.845
Ge -0.891 -5.400 0.588
Zn 0.758 -3.149 1.072
Ce 0.000 0.000 0.000
```

DOS(E_F)   5.75 states/eV per cell
Symmetry   No. 164
E_form   -530.2 meV per atom

Copy entry 1 word for word.
Here is a relaxed structure of CeYPaGa from Alexandria. Energies are from PBE.

The structure in extended XYZ format:
```
4
Lattice="-1.568 2.649 4.209 0.647 -2.040 4.755 3.523 2.043 3.257" Properties=species:S:1:pos:R:3 pbc="T T T"
Ga 1.301 1.326 6.110
Ce 0.650 0.663 3.055
Y 1.951 1.988 9.166
Pa 0.000 0.000 0.000
```

DOS(E_F)   8.88 states/eV per cell
Symmetry   No. 216
E_form   95.6 meV per atom

Q: What is the DOS(E_F) in the third record?
A: 0.58 states/eV per cell

Q: DOS(E_F) of number 4 (CeZnNi2Ge2)?
A: 5.75 states/eV per cell